The following is a DFT calculation (PBE) of a geometry-optimized ScCuAs structure.

The value obtained for the energy is -5.76 eV per atom. For the formation energy, the calculation gives -736.4 meV/atom.

It has space group C2/m (No. 12), with a = 9.3462 Å, b = 3.9962 Å, c = 6.0207 Å, α = 90.00°, β = 101.49° and γ = 90.00°. The asymmetric unit holds Sc at (0.1171, 0.0000, 0.2619), Cu at (0.1135, 0.5000, 0.9280) and As at (0.1728, 0.0000, 0.7231).

The following is a DFT calculation (PBE) of a geometry-optimized ScCuAs2 structure.

The value obtained for the energy is -5.38 eV per atom. For the formation energy, the calculation gives -444.6 meV/atom.

It has space group P2/m (No. 10), with a = 3.6019 Å, b = 3.8208 Å, c = 5.4904 Å, α = 90.00°, β = 92.32° and γ = 90.00°. The asymmetric unit holds Sc at (0.0000, 0.0000, 0.0000), Cu at (0.5000, 0.0000, 0.5000) and As at (0.4515, 0.5000, 0.7699).

The following is a DFT calculation (PBE) of a geometry-optimized Sc2CuAs structure.

The value obtained for the energy is -5.99 eV per atom. For the formation energy, the calculation gives -636.5 meV/atom.

It has space group Pmmm (No. 47), with a = 3.4361 Å, b = 3.4631 Å, c = 6.1198 Å, α = 90.00°, β = 90.00° and γ = 90.00°. The asymmetric unit holds Sc at (0.0000, 0.0000, 0.2471), Cu at (0.5000, 0.5000, 0.5000) and As at (0.5000, 0.5000, 0.0000).

The following is a DFT calculation (PBE) of a geometry-optimized Sc2Cu2As structure.

The value obtained for the energy is -5.58 eV per atom. For the formation energy, the calculation gives -477.3 meV/atom.

It has space group P4/mbm (No. 127), with a = 6.6832 Å, b = 6.6832 Å, c = 3.8335 Å, α = 90.00°, β = 90.00° and γ = 90.00°. The asymmetric unit holds Sc at (0.1704, 0.3296, 0.0000), Cu at (0.1269, 0.6269, 0.5000) and As at (0.0000, 0.0000, 0.5000).

The following is a DFT calculation (PBE) of a geometry-optimized Sc2CuAs structure.

The value obtained for the energy is -5.63 eV per atom. For the formation energy, the calculation gives -277.2 meV/atom.

It has space group P4mm (No. 99), with a = 3.2752 Å, b = 3.2752 Å, c = 7.2087 Å, α = 90.00°, β = 90.00° and γ = 90.00°. The asymmetric unit holds Sc at (0.0000, 0.0000, 0.0000), Sc at (0.5000, 0.5000, 0.3440), Cu at (0.5000, 0.5000, 0.7786) and As at (0.0000, 0.0000, 0.5955).

The following is a DFT calculation (PBE) of a geometry-optimized Sc2CuAs structure.

The value obtained for the energy is -5.74 eV per atom. For the formation energy, the calculation gives -386.1 meV/atom.

It has space group I-42d (No. 122), with a = 7.0518 Å, b = 7.0518 Å, c = 6.5849 Å, α = 90.00°, β = 90.00° and γ = 90.00°. The asymmetric unit holds Sc at (0.2439, 0.2500, 0.1250), Cu at (0.0000, 0.0000, 0.0000) and As at (0.0000, 0.0000, 0.5000).

The following is a DFT calculation (PBE) of a geometry-optimized ScCuAsSe2 structure.

For the offset from the most stable computed form, the calculation gives 0.000 eV per atom. The uncorrected formation energy comes out at -0.2 eV per formula unit. The value obtained for the energy is -4.45 eV per atom.

It has space group P4/mmm (No. 123), with a = 4.8239 Å, b = 4.8239 Å, c = 4.6211 Å, α = 90.00°, β = 90.00° and γ = 90.00°. The asymmetric unit holds Sc at (0.0000, 0.0000, 0.0000), Cu at (0.5000, 0.5000, 0.5000), As at (0.5000, 0.5000, 0.0000) and Se at (0.0000, 0.5000, 0.5000).

The following is a DFT calculation (PBE) of a geometry-optimized ScCuAsSe2 structure.

For the offset from the most stable computed form, the calculation gives 0.229 eV per atom. The uncorrected formation energy comes out at 0.9 eV per formula unit. The value obtained for the energy is -4.22 eV per atom.

It has space group P4/mmm (No. 123), with a = 5.1030 Å, b = 5.1030 Å, c = 5.1472 Å, α = 90.00°, β = 90.00° and γ = 90.00°. The asymmetric unit holds Sc at (0.0000, 0.0000, 0.0000), Cu at (0.5000, 0.5000, 0.5000), As at (0.0000, 0.0000, 0.5000) and Se at (0.0000, 0.5000, 0.0000).

The following is a DFT calculation (PBE) of a geometry-optimized ScCuAs2Se structure.

For the offset from the most stable computed form, the calculation gives 0.305 eV per atom. The uncorrected formation energy comes out at 1.9 eV per formula unit. The value obtained for the energy is -4.26 eV per atom.

It has space group P4/mmm (No. 123), with a = 5.0968 Å, b = 5.0968 Å, c = 5.0705 Å, α = 90.00°, β = 90.00° and γ = 90.00°. The asymmetric unit holds Sc at (0.0000, 0.0000, 0.0000), Cu at (0.5000, 0.5000, 0.5000), As at (0.0000, 0.5000, 0.0000) and Se at (0.0000, 0.0000, 0.5000).

The following is a DFT calculation (PBE) of a geometry-optimized ScCuAs2Se structure.

For the offset from the most stable computed form, the calculation gives 0.231 eV per atom. The uncorrected formation energy comes out at 1.5 eV per formula unit. The value obtained for the energy is -4.33 eV per atom.

It has space group P4/mmm (No. 123), with a = 5.1643 Å, b = 5.1643 Å, c = 4.3315 Å, α = 90.00°, β = 90.00° and γ = 90.00°. The asymmetric unit holds Sc at (0.0000, 0.0000, 0.0000), Cu at (0.5000, 0.5000, 0.0000), As at (0.0000, 0.5000, 0.5000) and Se at (0.5000, 0.5000, 0.5000).

The following is a DFT calculation (PBE) of a geometry-optimized ScCuAs2Se structure.

For the offset from the most stable computed form, the calculation gives 0.000 eV per atom. The uncorrected formation energy comes out at 0.4 eV per formula unit. The value obtained for the energy is -4.57 eV per atom.

It has space group P4/mmm (No. 123), with a = 4.6514 Å, b = 4.6514 Å, c = 4.9028 Å, α = 90.00°, β = 90.00° and γ = 90.00°. The asymmetric unit holds Sc at (0.0000, 0.0000, 0.0000), Cu at (0.5000, 0.5000, 0.5000), As at (0.0000, 0.5000, 0.5000) and Se at (0.5000, 0.5000, 0.0000).

The following is a DFT calculation (PBE) of a geometry-optimized Cu2As2Se5 structure.

The uncorrected formation energy comes out at -0.6 eV per formula unit. The value obtained for the energy is -3.95 eV per atom.

It has space group C2/m (No. 12), with a = 19.6308 Å, b = 3.5719 Å, c = 6.5456 Å, α = 90.00°, β = 99.13° and γ = 90.00°. The asymmetric unit holds Cu at (0.0899, 0.0000, 0.4802), As at (0.0935, 0.5000, 0.0117), Se at (0.0000, 0.5000, 0.5000), Se at (0.1584, 0.0000, 0.8646) and Se at (0.1575, 0.5000, 0.3609).